AcHfZnAs3: optimized geometry, PBE.

The structure in POSCAR format:
```
AcHfZnAs3
1.0
-2.411 -3.112 -0.947
-1.379 -1.359 7.979
-6.442 5.835 -2.775
As Ac Hf Zn
6 2 2 2
Direct
0.750 0.896 0.128 As
0.750 0.247 0.533 As
0.250 0.544 0.837 As
0.250 0.753 0.467 As
0.250 0.104 0.872 As
0.750 0.456 0.163 As
0.750 0.795 0.756 Ac
0.250 0.205 0.244 Ac
0.750 0.328 0.855 Hf
0.250 0.672 0.145 Hf
0.250 0.092 0.595 Zn
0.750 0.908 0.405 Zn
```

Calculated values
Energy (eV/atom): -5.785
Symmetry: P2_1/m, No. 11

---

PuMg4Cd2: optimized geometry, PBE.

The structure in POSCAR format:
```
PuMg4Cd2
1.0
3.185 0.000 0.000
0.000 5.006 -1.288
0.000 -0.048 10.189
Cd Mg Pu
2 4 1
Direct
0.500 0.924 0.849 Cd
0.500 0.076 0.151 Cd
0.500 0.344 0.688 Mg
0.000 0.795 0.589 Mg
0.500 0.656 0.312 Mg
0.000 0.205 0.411 Mg
0.000 0.500 0.000 Pu
```

Calculated values
Energy (eV/atom): -3.262
Symmetry: Cmmm, No. 65

---

Taking the records one at a time from the top gives formation enthalpy at 0 K values of -5.425; -0.296 eV per formula unit.